ScSiBr | GGA-PBE | relaxed

Computed properties:
Total DFT energy (no corrections): -13.50 eV for the cell shown
Magnetic moment: 0.0 μB/f.u.
Formation energy without anion corrections: -26 meV/atom
Mass density: 3.50 g/cm³

a = 4.6822 Å, b = 4.6822 Å, c = 4.6822 Å
α = 60.00°, β = 60.00°, γ = 60.00°
Fractional positions:
1 Sc 0.0000 0.0000 0.0000
2 Si 0.2500 0.2500 0.2500
3 Br 0.7500 0.7500 0.7500



BaLi2Np3N6 | GGA-PBE | relaxed

Computed properties:
Total DFT energy (no corrections): -105.51 eV for the cell shown
Magnetic moment: 7.0 μB/f.u.
Formation energy without anion corrections: -915 meV/atom
Mass density: 8.37 g/cm³

a = 7.4939 Å, b = 7.4939 Å, c = 7.6597 Å
α = 105.35°, β = 105.35°, γ = 26.96°
Fractional positions:
1 Ba 0.0000 0.0000 0.0000
2 Li 0.3199 0.3199 0.5760
3 Li 0.6801 0.6801 0.4240
4 Np 0.0000 0.0000 0.5000
5 Np 0.3172 0.3172 0.1904
6 Np 0.6828 0.6828 0.8096
7 N 0.1708 0.1708 0.6050
8 N 0.1786 0.1786 0.9882
9 N 0.4821 0.4821 0.3048
10 N 0.5179 0.5179 0.6952
11 N 0.8214 0.8214 0.0118
12 N 0.8292 0.8292 0.3950



What is the formation energy without anion corrections in the second record?
-915 meV/atom



The highest total DFT energy (no corrections) belongs to which entry?
ScSiBr



Among the records above, which one has the lowest magnetic moment?
ScSiBr